{
  "formula": "Mn2TeF2",
  "functional": "PBE+U",
  "state": "relaxed",
  "energy_ev_per_atom": -5.952,
  "m_tot_mub_per_cell": 9.93,
  "cell": [[3.774, 0.000, 0.000], [0.000, 3.774, 0.000], [1.887, 1.887, 5.871]],
  "species": ["Te", "Mn", "F", "Mn", "F"],
  "fractional_positions": [[0.000, 0.000, 0.000], [0.642, 0.642, 0.716], [0.250, 0.750, 0.500], [0.358, 0.358, 0.284], [0.750, 0.250, 0.500]]
}